First-principles (GGA+U) data for a relaxed K3Ac3NiO8 crystal, as listed in the Alexandria database. Values from VASP.

The structure in Quantum ESPRESSO input format:
```
&SYSTEM
  ibrav = 0, nat = 15, ntyp = 4
/
ATOMIC_SPECIES
Ac 227.00 Ac.upf
O 16.00 O.upf
Ni 58.69 Ni.upf
K 39.10 K.upf
ATOMIC_POSITIONS angstrom
Ac 3.982 -2.283 3.357
Ac 1.976 0.923 3.204
Ac -1.836 1.037 3.081
O 5.355 -0.898 1.796
O 0.153 1.983 1.837
O 1.751 -1.462 2.348
O 3.799 -0.136 4.571
O 2.201 3.309 4.061
O 0.005 -0.503 4.099
O 3.946 2.349 2.310
O -1.404 2.745 4.612
Ni 0.170 -2.169 3.234
K 0.000 0.000 0.000
K -2.006 3.206 -0.153
K 1.806 3.092 -0.030
CELL_PARAMETERS angstrom
7.624 -0.228 0.247
-4.012 6.412 -0.306
0.340 -4.337 6.468
```

Properties
crystal system	triclinic
total magnetic moment	0.102	μB per atom
total DFT energy (no corrections)	-5.915	eV/atom
space-group type	No. 2